No. 1
Computed, not measured: crystalline CsLaMo2O8 at its relaxed geometry at the PBEsol level of DFT.

Cell: 7.6517 7.6517 7.8193 Å, 117.67 117.67 89.28°
Positions (direct):
Cs  0.1938  0.8062  0.7500
Cs  0.8062  0.1938  0.2500
La  0.2289  0.7711  0.2500
La  0.7711  0.2289  0.7500
Mo  0.3099  0.3114  0.2674
Mo  0.3114  0.3099  0.7674
Mo  0.6886  0.6901  0.2326
Mo  0.6901  0.6886  0.7326
O  0.0666  0.2094  0.7021
O  0.0814  0.3911  0.1392
O  0.2094  0.0666  0.2021
O  0.2468  0.3856  0.5718
O  0.3704  0.5784  0.0246
O  0.3856  0.2468  0.0718
O  0.3911  0.0814  0.6392
O  0.4216  0.6296  0.4754
O  0.5784  0.3704  0.5246
O  0.6089  0.9186  0.3608
O  0.6144  0.7532  0.9282
O  0.6296  0.4216  0.9754
O  0.7532  0.6144  0.4282
O  0.7906  0.9334  0.7979
O  0.9186  0.6089  0.8608
O  0.9334  0.7906  0.2979

VASP energy (eV per cell): -202.45
Density of states at the Fermi level (states/eV/f.u.): 0.00
Symmetry: No. 15
Spin magnetization (μB per atom): 0.000
E_form (uncorrected) (eV per atom): -2.45

No. 2
Computed, not measured: crystalline Li3Ta at its relaxed geometry at the PBEsol level of DFT.

Cell: 4.9904 4.9904 5.4970 Å, 93.82 93.82 29.59°
Positions (direct):
Li  0.0000  0.0000  0.0000
Li  0.2491  0.2491  0.7463
Li  0.7509  0.7509  0.2537
Ta  0.5000  0.5000  0.5000

VASP energy (eV per cell): -16.55
Density of states at the Fermi level (states/eV/f.u.): 2.39
Symmetry: No. 12
Spin magnetization (μB per atom): 0.000
Energy above the most stable polymorph in this dataset (meV per atom): 2.3

No. 3
Computed, not measured: crystalline Li3BiP2O8 at its relaxed geometry at the PBEsol level of DFT.

Cell: 5.1469 5.1469 6.2532 Å, 93.04 93.04 66.84°
Positions (direct):
Li  0.0000  0.0000  0.0000
Li  0.3363  0.3363  0.1951
Li  0.6637  0.6637  0.8049
Bi  0.0000  0.0000  0.5000
P  0.3546  0.3546  0.7356
P  0.6454  0.6454  0.2644
O  0.2311  0.2311  0.9003
O  0.2480  0.6838  0.7679
O  0.2784  0.2784  0.5033
O  0.3162  0.7520  0.2321
O  0.6838  0.2480  0.7679
O  0.7216  0.7216  0.4967
O  0.7520  0.3162  0.2321
O  0.7689  0.7689  0.0997

VASP energy (eV per cell): -94.16
Density of states at the Fermi level (states/eV/f.u.): 0.00
Symmetry: No. 12
Spin magnetization (μB per atom): 0.000
E_form (uncorrected) (eV per atom): -2.17
Energy above the most stable polymorph in this dataset (meV per atom): 17.7

No. 4
Computed, not measured: crystalline Sr5As3ClO12 at its relaxed geometry at the PBEsol level of DFT.

Cell: 10.2077 10.2077 7.2487 Å, 90.00 90.00 120.00°
Positions (direct):
Sr  0.0009  0.2514  0.2500
Sr  0.2505  0.9991  0.2500
Sr  0.2514  0.2505  0.7500
Sr  0.3333  0.6667  0.5020
Sr  0.3333  0.6667  0.9980
Sr  0.6667  0.3333  0.0020
Sr  0.6667  0.3333  0.4980
Sr  0.7486  0.7495  0.2500
Sr  0.7495  0.0009  0.7500
Sr  0.9991  0.7486  0.7500
As  0.0329  0.6260  0.2500
As  0.3740  0.4069  0.2500
As  0.4069  0.0329  0.7500
As  0.5931  0.9671  0.2500
As  0.6260  0.5931  0.7500
As  0.9671  0.3740  0.7500
Cl  0.0000  0.0000  0.0000
Cl  0.0000  0.0000  0.5000
O  0.0967  0.7423  0.0614
O  0.0967  0.7423  0.4386
O  0.1290  0.5275  0.2500
O  0.1588  0.4898  0.7500
O  0.2577  0.3544  0.0614
O  0.2577  0.3544  0.4386
O  0.3310  0.8412  0.7500
O  0.3544  0.0967  0.5614
O  0.3544  0.0967  0.9386
O  0.3985  0.8710  0.2500
O  0.4725  0.6015  0.2500
O  0.4898  0.3310  0.2500
O  0.5102  0.6690  0.7500
O  0.5275  0.3985  0.7500
O  0.6015  0.1290  0.7500
O  0.6456  0.9033  0.0614
O  0.6456  0.9033  0.4386
O  0.6690  0.1588  0.2500
O  0.7423  0.6456  0.5614
O  0.7423  0.6456  0.9386
O  0.8412  0.5102  0.2500
O  0.8710  0.4725  0.7500
O  0.9033  0.2577  0.5614
O  0.9033  0.2577  0.9386

VASP energy (eV per cell): -277.52
Density of states at the Fermi level (states/eV/f.u.): 0.00
Symmetry: No. 176
Spin magnetization (μB per atom): 0.000
E_form (uncorrected) (eV per atom): -2.34

No. 5
Computed, not measured: crystalline Ni2Pt at its relaxed geometry at the PBEsol level of DFT.

Cell: 4.6650 4.6650 7.5773 Å, 90.00 90.00 120.00°
Positions (direct):
Ni  0.0000  0.0000  0.0000
Ni  0.0000  0.0000  0.5000
Ni  0.1695  0.3390  0.2500
Ni  0.1695  0.8305  0.2500
Ni  0.3390  0.1695  0.7500
Ni  0.6610  0.8305  0.2500
Ni  0.8305  0.1695  0.7500
Ni  0.8305  0.6610  0.7500
Pt  0.3333  0.6667  0.5630
Pt  0.3333  0.6667  0.9370
Pt  0.6667  0.3333  0.0630
Pt  0.6667  0.3333  0.4370

VASP energy (eV per cell): -77.03
Density of states at the Fermi level (states/eV/f.u.): 4.76
Symmetry: No. 194
Spin magnetization (μB per atom): 0.545

No. 6
Computed, not measured: crystalline YMnSi2 at its relaxed geometry at the PBEsol level of DFT.

Cell: 4.4285 4.4285 4.4285 Å, 60.00 60.00 60.00°
Positions (direct):
Y  0.0000  0.0000  0.0000
Mn  0.5000  0.5000  0.5000
Si  0.2500  0.2500  0.2500
Si  0.7500  0.7500  0.7500

VASP energy (eV per cell): -28.35
Density of states at the Fermi level (states/eV/f.u.): 1.94
Symmetry: No. 225
Spin magnetization (μB per atom): 0.000
E_form (uncorrected) (eV per atom): -0.07

No. 7
Computed, not measured: crystalline SnMo2As2 at its relaxed geometry at the PBEsol level of DFT.

Cell: 7.8033 7.8033 7.8033 Å, 152.67 152.67 39.04°
Positions (direct):
Sn  0.0000  0.0000  0.0000
Mo  0.2500  0.7500  0.5000
Mo  0.7500  0.2500  0.5000
As  0.3756  0.3756  0.0000
As  0.6244  0.6244  0.0000

VASP energy (eV per cell): -37.28
Density of states at the Fermi level (states/eV/f.u.): 3.04
Symmetry: No. 139
Spin magnetization (μB per atom): 0.000

No. 8
Computed, not measured: crystalline SiNiRh2 at its relaxed geometry at the PBEsol level of DFT.

Cell: 4.3964 4.3964 4.5491 Å, 104.61 104.61 36.05°
Positions (direct):
Si  0.0000  0.0000  0.0000
Ni  0.5000  0.5000  0.5000
Rh  0.2658  0.2658  0.7555
Rh  0.7342  0.7342  0.2445

VASP energy (eV per cell): -29.76
Density of states at the Fermi level (states/eV/f.u.): 3.78
Symmetry: No. 12
Spin magnetization (μB per atom): 0.001
E_form (uncorrected) (eV per atom): -0.39

No. 9
Computed, not measured: crystalline CdPb2W at its relaxed geometry at the PBEsol level of DFT.

Cell: 5.9277 5.9277 3.1089 Å, 104.68 104.68 113.81°
Positions (direct):
Cd  0.0000  0.0000  0.0000
Pb  0.0000  0.5000  0.5000
Pb  0.5000  0.0000  0.5000
W  0.5000  0.5000  0.0000

VASP energy (eV per cell): -19.32
Density of states at the Fermi level (states/eV/f.u.): 3.04
Symmetry: No. 12
Spin magnetization (μB per atom): 0.000

No. 10
Computed, not measured: crystalline CdIn2SeS3 at its relaxed geometry at the PBEsol level of DFT.

Cell: 7.7634 7.7634 7.7634 Å, 120.15 120.11 89.78°
Positions (direct):
Cd  0.0000  0.0000  0.0000
Cd  0.7293  0.2293  0.5000
In  0.3557  0.6031  0.7527
In  0.3567  0.1100  0.7533
In  0.3567  0.6034  0.2467
In  0.8504  0.6031  0.2473
Se  0.1106  0.8498  0.2608
Se  0.5890  0.8498  0.7392
S  0.1187  0.3930  0.2743
S  0.1187  0.8444  0.7257
S  0.1330  0.3646  0.7684
S  0.5952  0.3644  0.7692
S  0.5952  0.8260  0.2308
S  0.5963  0.3646  0.2316

VASP energy (eV per cell): -56.60
Symmetry: No. 44
Spin magnetization (μB per atom): 0.000
E_form (uncorrected) (eV per atom): -0.59

No. 11
Computed, not measured: crystalline HfAsP2Cl at its relaxed geometry at the PBEsol level of DFT.

Cell: 5.0106 5.0106 4.6698 Å, 90.00 90.00 90.00°
Positions (direct):
Hf  0.0000  0.0000  0.0000
As  0.5000  0.5000  0.5000
P  0.0000  0.5000  0.0000
P  0.5000  0.0000  0.0000
Cl  0.0000  0.0000  0.5000

VASP energy (eV per cell): -28.21
Density of states at the Fermi level (states/eV/f.u.): 2.85
Symmetry: No. 123
Spin magnetization (μB per atom): 0.000
E_form (uncorrected) (eV per atom): 0.20

No. 12
Computed, not measured: crystalline CoTcOs2 at its relaxed geometry at the PBEsol level of DFT.

Cell: 4.5479 4.5479 4.5479 Å, 131.16 131.16 71.56°
Positions (direct):
Co  0.0000  0.0000  0.0000
Tc  0.5000  0.5000  0.0000
Os  0.2500  0.7500  0.5000
Os  0.7500  0.2500  0.5000

VASP energy (eV per cell): -43.07
Density of states at the Fermi level (states/eV/f.u.): 3.62
Symmetry: No. 139
Spin magnetization (μB per atom): 0.000
Energy above the most stable polymorph in this dataset (meV per atom): 0.0

What is the spin magnetization in the seventh record? 0.000 μB per atom